VASP calculation (GGA-PBE) on a geometry-optimized Cs3Sb2S6 structure.

Structure (extended XYZ):
```
11
Lattice="-2.5187 2.5187 14.9174 2.5187 -2.5187 14.9174 2.5187 2.5187 -14.9174" Properties=species:S:1:pos:R:3 pbc="T T T"
Cs 0.0000 0.0000 0.0000
Cs 0.0000 0.0000 5.4828
Cs 0.0000 0.0000 24.3521
Sb 0.0000 0.0000 11.5185
Sb 0.0000 0.0000 18.3164
S 2.5187 0.0000 2.6438
S 0.0000 0.0000 9.1773
S 2.5187 0.0000 12.2737
S 0.0000 2.5187 2.6438
S 0.0000 0.0000 20.6576
S 0.0000 2.5187 12.2737
```

Properties
* symmetry: No. 139
* formation energy (no corrections): -612.5 meV per atom
* DOS at the Fermi energy: 0.603 states/eV/atom
* total moment: 0.28 μB/cell

VASP calculation (GGA-PBE) on a geometry-optimized Cs2SbS3 structure.

Structure (extended XYZ):
```
12
Lattice="6.6878 -4.5734 0.0000 6.6878 4.5734 0.0000 -0.0705 0.0000 7.0210" Properties=species:S:1:pos:R:3 pbc="T T T"
Cs 4.5598 3.1196 5.3037
Cs 8.7100 3.1196 5.2277
Cs 4.5950 -3.1196 1.7932
Cs 8.7452 -3.1196 1.7173
Sb 6.6701 0.6452 1.7552
Sb 6.6349 -0.6452 5.2657
S 6.6701 3.0481 1.7552
S 4.7968 0.0182 3.5021
S 4.7616 -0.0182 7.0126
S 8.5434 0.0182 0.0084
S 8.5082 -0.0182 3.5189
S 6.6349 -3.0481 5.2657
```

Properties
* symmetry: No. 15
* formation energy (no corrections): -781.1 meV per atom
* DOS at the Fermi energy: 0.353 states/eV/atom
* total moment: 0.00 μB/cell
* polymorph energy (0 for the lowest one): 32 meV/atom

VASP calculation (GGA-PBE) on a geometry-optimized Cs8Sb2S structure.

Structure (extended XYZ):
```
11
Lattice="11.0825 -3.1894 0.0000 11.0825 3.1894 0.0000 -3.1166 0.0000 8.1900" Properties=species:S:1:pos:R:3 pbc="T T T"
Cs -0.5535 0.0000 2.3283
Cs 2.3155 0.0000 6.4129
Cs 5.9057 0.0000 4.5632
Cs 8.5343 0.0000 0.7622
Cs 10.5140 0.0000 7.4278
Cs 13.1427 0.0000 3.6268
Cs 16.7328 0.0000 1.7771
Cs 19.6018 0.0000 5.8617
Sb 3.1949 0.0000 1.4187
Sb 15.8535 0.0000 6.7713
S 9.5242 0.0000 4.0950
```

Properties
* symmetry: No. 12
* formation energy (no corrections): -518.5 meV per atom
* DOS at the Fermi energy: 0.097 states/eV/atom
* total moment: 0.00 μB/cell

VASP calculation (GGA-PBE) on a geometry-optimized CsSb2Se2S structure.

Structure (extended XYZ):
```
12
Lattice="7.4172 0.0000 0.0000 0.0000 7.3205 0.0000 -0.8944 0.0000 8.3419" Properties=species:S:1:pos:R:3 pbc="T T T"
Cs 0.2235 1.8301 2.3303
Cs 6.2994 5.4904 6.0115
Sb 2.6271 0.0427 6.2904
Sb 2.6271 3.6176 6.2904
Sb 3.8957 3.7030 2.0515
Sb 3.8957 7.2778 2.0515
Se 0.6669 1.8301 6.1396
Se 2.3296 5.4904 4.2279
Se 4.1932 1.8301 4.1140
Se 5.8559 5.4904 2.2023
S 1.9578 5.4904 8.0322
S 4.5651 1.8301 0.3097
```

Properties
* symmetry: No. 11
* formation energy (no corrections): -421.6 meV per atom
* DOS at the Fermi energy: 0.216 states/eV/atom
* total moment: 0.00 μB/cell

VASP calculation (GGA-PBE) on a geometry-optimized Cs2Sm2SbS6 structure.

Structure (extended XYZ):
```
11
Lattice="3.5382 -6.0862 0.0000 3.5382 6.0862 0.0000 -2.4179 0.0000 8.2755" Properties=species:S:1:pos:R:3 pbc="T T T"
Cs 3.5382 4.0211 0.0000
Cs 3.5382 -4.0211 0.0000
Sm 2.3292 2.0309 4.1378
Sm 2.3292 -2.0309 4.1378
Sb -1.2090 0.0000 4.1378
S -0.0816 1.9378 5.6152
S 1.0200 0.0000 2.6703
S -0.0816 -1.9378 5.6152
S 4.7400 1.9378 2.6604
S 3.6384 0.0000 5.6053
S 4.7400 -1.9378 2.6604
```

Properties
* symmetry: No. 12
* formation energy (no corrections): -1357.1 meV per atom
* DOS at the Fermi energy: 0.472 states/eV/atom
* total moment: 0.00 μB/cell

VASP calculation (GGA-PBE) on a geometry-optimized Cs2SmSb2S6 structure.

Structure (extended XYZ):
```
11
Lattice="6.3458 -3.7578 0.0000 6.3458 3.7578 0.0000 -4.0972 0.0000 7.9473" Properties=species:S:1:pos:R:3 pbc="T T T"
Cs 1.8544 0.0000 1.4014
Cs 6.7401 0.0000 6.5459
Sm -2.0486 0.0000 3.9736
Sb 2.3609 0.0000 6.3343
Sb 6.2335 0.0000 1.6130
S 4.8218 1.9413 1.8563
S 0.6237 0.0000 4.6680
S 3.7726 1.9413 6.0910
S 4.8218 -1.9413 1.8563
S 7.9707 0.0000 3.2793
S 3.7726 -1.9413 6.0910
```

Properties
* symmetry: No. 12
* formation energy (no corrections): -869.3 meV per atom
* DOS at the Fermi energy: 0.377 states/eV/atom
* total moment: 0.00 μB/cell

VASP calculation (GGA-PBE) on a geometry-optimized Cs4Sm3SbS8 structure.

Structure (extended XYZ):
```
16
Lattice="4.1916 2.4200 8.0604 -4.1916 2.4200 8.0604 0.0000 -4.8400 8.0604" Properties=species:S:1:pos:R:3 pbc="T T T"
Cs 0.0000 0.0000 0.0000
Cs -2.0958 -1.2100 8.0604
Cs -2.0958 1.2100 16.1209
Cs 0.0000 2.4200 8.0604
Sm -4.1916 0.0000 12.0907
Sm -2.0958 1.2100 4.0302
Sm 2.0958 1.2100 4.0302
Sb 0.0000 0.0000 12.0907
S 0.0000 0.0000 5.5230
S -2.0813 -1.2016 13.5725
S 0.0000 -2.4033 10.6088
S -2.0813 1.2016 10.6088
S 2.0813 -1.2016 13.5725
S 0.0000 2.4033 13.5725
S 2.0813 1.2016 10.6088
S 0.0000 0.0000 18.6583
```

Properties
* symmetry: No. 166
* formation energy (no corrections): -1530.0 meV per atom
* DOS at the Fermi energy: 0.000 states/eV/atom
* total moment: 0.00 μB/cell

VASP calculation (GGA-PBE) on a geometry-optimized Cs2SmSbS4 structure.

Structure (extended XYZ):
```
16
Lattice="-4.3744 4.4385 6.2283 4.3744 -4.4385 6.2283 4.3744 4.4385 -6.2283" Properties=species:S:1:pos:R:3 pbc="T T T"
Cs 0.0000 0.0000 0.0000
Cs -2.1872 2.2192 3.1141
Cs 0.0000 4.4385 0.0000
Cs 2.1872 2.2192 3.1141
Sm 2.1872 2.2192 -3.1141
Sm 2.1872 -2.2192 3.1141
Sb 4.3744 0.0000 0.0000
Sb 0.0000 0.0000 6.2283
S 4.3744 -0.3753 2.8401
S 2.5523 2.2192 -0.2619
S 6.1965 2.2192 -0.2619
S 4.3744 4.0632 -2.8401
S 0.0000 0.3753 9.0684
S -1.8221 2.2192 6.4902
S 1.8221 2.2192 6.4902
S 0.0000 4.8138 3.3882
```

Properties
* symmetry: No. 74
* formation energy (no corrections): -1152.1 meV per atom
* total moment: 0.00 μB/cell